{"formula": "RbTe2H4", "functional": "PBE-GGA", "state": "optimized geometry", "lattice_angstrom": [[-7.956, -0.308, 2.493], [-1.219, -3.935, 3.278], [-2.447, 3.764, 3.516]], "species": ["Rb", "Te", "Te", "H", "H", "H", "H"], "fractional_positions": [[0.903, 0.100, 0.205], [0.394, 0.598, 0.222], [0.880, 0.625, 0.722], [0.443, 0.337, 0.977], [0.428, 0.991, 0.694], [0.070, 0.249, 0.547], [0.383, 0.100, 0.632]], "energy_ev_per_cell": -21.75, "vol_a3_per_cell": 173.9, "crystal_system": "triclinic"}